# Sr3Ce2NpN6 | Alexandria via LeMat-Bulk | PBE | relaxed
# **Formation energy (no corrections)**: -1.14 eV/atom
# **Crystal system**: monoclinic
# **Volume**: 407 Å³ per cell
data_Sr3Ce2NpN6
_chemical_formula_sum 'Sr6 Ce4 Np2 N12'
_cell_length_a 6.2684
_cell_length_b 10.8610
_cell_length_c 6.3382
_cell_angle_alpha 90.00
_cell_angle_beta 109.26
_cell_angle_gamma 90.00
_symmetry_space_group_name_H-M 'C 1 2/m 1'
_symmetry_Int_Tables_number 12
_symmetry_space_group_name_Hall '-C 2y'
loop_
_atom_site_label
_atom_site_fract_x
_atom_site_fract_y
_atom_site_fract_z
Sr1 0.0000 0.0000 0.0000
Sr2 0.0000 0.3338 0.0000
Ce1 0.0000 0.1667 0.5000
Np1 0.0000 0.5000 0.5000
N1 0.2226 0.3444 0.7005
N2 0.2439 0.5000 0.3004